Entry 1:
Co3N: relaxed, PBE-GGA.

Cell: 4.543 4.543 4.339 Å, 90.00 90.00 120.00°
Fractional positions:
Co 0.000 0.326 0.000
Co 0.000 0.674 0.500
Co 0.326 0.000 0.000
Co 0.326 0.326 0.500
Co 0.674 0.000 0.500
Co 0.674 0.674 0.000
N 0.333 0.667 0.250
N 0.667 0.333 0.750

Values from the calculation:
space group	No. 182
E_form (uncorrected)	0.3	eV per formula unit
total magnetic moment	5.9	μB/cell
raw total energy	-7.339	eV per atom

***

Entry 2:
Ca2DyTlCl8: relaxed, PBE-GGA.

Cell: 6.411 8.718 6.659 Å, 90.00 90.45 90.00°
Fractional positions:
Ca 0.000 0.247 0.000
Ca 0.000 0.753 0.000
Dy 0.500 0.500 0.500
Tl 0.500 0.000 0.500
Cl 0.218 0.000 0.868
Cl 0.232 0.500 0.818
Cl 0.266 0.289 0.325
Cl 0.266 0.711 0.325
Cl 0.734 0.289 0.675
Cl 0.734 0.711 0.675
Cl 0.768 0.500 0.182
Cl 0.782 0.000 0.132

Values from the calculation:
space group	No. 10
E_form (uncorrected)	-25.2	eV per formula unit
total magnetic moment	0.0	μB/cell
raw total energy	-4.249	eV per atom

***

Entry 3:
Ac2PaS2N2: relaxed, PBE-GGA.

Cell: 8.478 8.478 8.478 Å, 149.80 149.80 43.24°
Fractional positions:
Ac 0.133 0.133 0.000
Ac 0.867 0.867 0.000
Pa 0.500 0.500 0.000
S 0.324 0.324 0.000
S 0.676 0.676 0.000
N 0.000 0.500 0.500
N 0.500 0.000 0.500

Values from the calculation:
space group	No. 139
E_form (uncorrected)	-12.4	eV per formula unit
total magnetic moment	0.0	μB/cell
raw total energy	-7.855	eV per atom

***

Entry 4:
MnS3Cl: relaxed, PBE-GGA.

Cell: 4.426 4.426 4.426 Å, 90.00 90.00 90.00°
Fractional positions:
Mn 0.000 0.000 0.000
S 0.000 0.000 0.500
S 0.000 0.500 0.000
S 0.500 0.000 0.000
Cl 0.500 0.500 0.500

Values from the calculation:
space group	No. 221
E_form (uncorrected)	2.0	eV per formula unit
polymorph energy (0 for the lowest one)	0.0	kJ per mole of atoms
total magnetic moment	0.0	μB/cell
raw total energy	-4.284	eV per atom